No. 1
# CoSiSn3, optimized geometry, DFT PBE
# formation energy (no corrections) = 1014 meV per atom
data_CoSiSn3
_symmetry_space_group_name_H-M 'P m -3 m'
_symmetry_Int_Tables_number 221
_symmetry_space_group_name_Hall '-P 4 2 3'
_cell_length_a 5.182
_cell_length_b 5.182
_cell_length_c 5.182
_cell_angle_alpha 90.00
_cell_angle_beta 90.00
_cell_angle_gamma 90.00
loop_
_atom_site_label
_atom_site_type_symbol
_atom_site_fract_x
_atom_site_fract_y
_atom_site_fract_z
_atom_site_occupancy
Co1 Co 0.000 0.000 0.000 1
Si1 Si 0.500 0.500 0.500 1
Sn1 Sn 0.000 0.500 0.500 1

***

No. 2
# TbLu2Pu, optimized geometry, DFT PBE
# formation energy = 0.165 eV/atom
data_TbLu2Pu
_symmetry_space_group_name_H-M 'F m -3 m'
_symmetry_Int_Tables_number 225
_symmetry_space_group_name_Hall '-F 4 2 3'
_cell_length_a 7.798
_cell_length_b 7.798
_cell_length_c 7.798
_cell_angle_alpha 90.00
_cell_angle_beta 90.00
_cell_angle_gamma 90.00
loop_
_atom_site_label
_atom_site_type_symbol
_atom_site_fract_x
_atom_site_fract_y
_atom_site_fract_z
_atom_site_occupancy
Tb1 Tb 0.000 0.000 0.000 1
Lu1 Lu 0.250 0.250 0.250 1
Pu1 Pu 0.000 0.000 0.500 1

***

No. 3
# Ca2SbRu, optimized geometry, DFT PBE
# formation energy (no corrections) = -258 meV per atom
data_Ca2SbRu
_symmetry_space_group_name_H-M 'I m m 2'
_symmetry_Int_Tables_number 44
_cell_length_a 3.518
_cell_length_b 5.043
_cell_length_c 11.363
_cell_angle_alpha 90.00
_cell_angle_beta 90.00
_cell_angle_gamma 90.00
loop_
_symmetry_equiv_pos_as_xyz
'x,y,z'
'-x,-y,z'
'-x,y,z'
'x,-y,z'
'x+1/2,y+1/2,z+1/2'
'-x+1/2,-y+1/2,z+1/2'
'-x+1/2,y+1/2,z+1/2'
'x+1/2,-y+1/2,z+1/2'
loop_
_atom_site_label
_atom_site_type_symbol
_atom_site_fract_x
_atom_site_fract_y
_atom_site_fract_z
_atom_site_occupancy
Ca1 Ca 0.000 0.000 0.000 1
Ca2 Ca 0.000 0.500 0.206 1
Sb1 Sb 0.000 0.500 0.804 1
Ru1 Ru 0.000 0.000 0.476 1

***

No. 4
# PmNd5Dy3, optimized geometry, DFT PBE
# formation energy = 0.276 eV/atom
data_PmNd5Dy3
_symmetry_space_group_name_H-M 'C 1 2/c 1'
_symmetry_Int_Tables_number 15
_cell_length_a 20.330
_cell_length_b 6.260
_cell_length_c 11.674
_cell_angle_alpha 90.00
_cell_angle_beta 122.04
_cell_angle_gamma 90.00
loop_
_symmetry_equiv_pos_as_xyz
'x,y,z'
'-x,-y,-z'
'-x,y,-z+1/2'
'x,-y,z+1/2'
'x+1/2,y+1/2,z'
'-x+1/2,-y+1/2,-z'
'-x+1/2,y+1/2,-z+1/2'
'x+1/2,-y+1/2,z+1/2'
loop_
_atom_site_label
_atom_site_type_symbol
_atom_site_fract_x
_atom_site_fract_y
_atom_site_fract_z
_atom_site_occupancy
Pm1 Pm 0.000 0.116 0.250 1
Nd1 Nd 0.000 0.401 0.750 1
Nd2 Nd 0.140 0.322 0.153 1
Nd3 Nd 0.180 0.188 0.836 1
Dy1 Dy 0.000 0.000 0.000 1
Dy2 Dy 0.178 0.221 0.531 1